The following is a DFT calculation (GGA-PBE) of a relaxed BaU2ZnO8 crystal.

Summary:
- formation energy without anion corrections (eV per atom) = -2.734

abc: 5.246 5.253 7.077
angles: 90.00 90.00 83.45
Element x y z (fractional)
O 0.217 0.782 0.794
O 0.343 0.341 0.500
O 0.657 0.659 0.500
O 0.665 0.666 0.000
O 0.335 0.334 0.000
O 0.783 0.218 0.206
O 0.783 0.218 0.794
O 0.217 0.782 0.206
Ba 0.000 0.000 0.500
Zn 0.000 0.000 0.000
U 0.500 0.500 0.760
U 0.500 0.500 0.240